No. 1
A relaxed structure of KAg2AsBr6, computed with PBE.

Computed properties:
SG	R3 (146)
M_tot	0.0	μB per formula unit
crystal system	trigonal
ΔE_f (raw)	-14.7	kcal/mol of atoms
E	-0.205	Ry per atom

Unit cell a=7.312 b=7.313 c=8.514 alpha=64.56 beta=64.55 gamma=59.99
Atoms (fractional coordinates):
K1 0.813 0.813 0.562
Ag1 0.590 0.590 0.230
Ag2 0.987 0.987 0.040
As1 0.333 0.333 0.002
Br1 0.568 0.235 0.246
Br2 0.235 0.951 0.246
Br3 0.951 0.568 0.246
Br4 0.360 0.704 0.814
Br5 0.704 0.122 0.814
Br6 0.122 0.360 0.814

***

No. 2
A relaxed structure of K2AgAsBr6, computed with PBE.

Computed properties:
SG	P1 (1)
M_tot	0.0	μB per formula unit
crystal system	triclinic
ΔE_f (raw)	-21.5	kcal/mol of atoms
E	-0.214	Ry per atom

Unit cell a=7.749 b=7.752 c=7.616 alpha=59.38 beta=59.39 gamma=60.00
Atoms (fractional coordinates):
K1 0.557 0.557 0.329
K2 0.055 0.056 0.834
Ag1 0.817 0.817 0.549
As1 0.318 0.318 0.046
Br1 0.558 0.146 0.290
Br2 0.146 0.006 0.292
Br3 0.007 0.556 0.292
Br4 0.489 0.632 0.794
Br5 0.631 0.085 0.794
Br6 0.083 0.489 0.796